1.
A plane-wave DFT calculation with PBE was carried out for crystalline Tb5Ge2Sb2 at its relaxed geometry.

The structure belongs to space group Cmce (No. 64); the cell edges are 15.229, 7.953 and 7.979 Å and the angles 90.00°, 90.00° and 90.00°. Symmetry generates all atoms from Tb at (0.000, 0.000, 0.000), Tb at (0.128, 0.165, 0.336), Ge at (0.000, 0.138, 0.637) and Sb at (0.205, 0.000, 0.000).

The value obtained for the density of states at the Fermi level is 0.69 states/eV per atom. As for the spin magnetization: 0.00 μB per atom. Its formation energy from raw total energies is -22.6 kcal/mol of atoms.

=====

2.
A plane-wave DFT calculation with PBE was carried out for crystalline Li15Cd2Rh2 at its relaxed geometry.

The structure belongs to space group R-3m (No. 166, hexagonal axes); the cell edges are 8.6750, 8.6750 and 14.3330 Å and the angles 90.00°, 90.00° and 120.00°. Symmetry generates all atoms from Li at (0.0000, 0.2739, 0.0000), Li at (0.0000, 0.5000, 0.5000), Li at (0.0220, 0.5110, 0.1241), Cd at (0.0000, 0.0000, 0.3014) and Rh at (0.0000, 0.0000, 0.0971).

The value obtained for the density of states at the Fermi level is 0.56 states/eV per atom. As for the spin magnetization: 0.00 μB per atom. Its formation energy is -16 meV/atom.

=====

3.
A plane-wave DFT calculation with PBE was carried out for crystalline BaBe2SnCl8 at its relaxed geometry.

The structure belongs to space group R-3 (No. 148, hexagonal axes); the cell edges are 6.2278, 6.2278 and 27.0881 Å and the angles 90.00°, 90.00° and 120.00°. Symmetry generates all atoms from Ba at (0.0000, 0.0000, 0.0000), Be at (0.0000, 0.0000, 0.2547), Sn at (0.0000, 0.0000, 0.5000), Cl at (0.0000, 0.0000, 0.3288) and Cl at (0.0081, 0.6337, 0.4355).

The value obtained for the density of states at the Fermi level is 0.00 states/eV per atom. As for the spin magnetization: 0.00 μB per atom. Its formation energy from raw total energies is -36.3 kcal/mol of atoms.

=====

4.
A plane-wave DFT calculation with PBE was carried out for crystalline LiPaCl4 at its relaxed geometry.

The structure belongs to space group P4/nmm (No. 129, origin choice 2); the cell edges are 9.178, 9.178 and 3.445 Å and the angles 90.00°, 90.00° and 90.00°. Symmetry generates all atoms from Li at (0.250, 0.750, 0.000), Pa at (0.250, 0.250, 0.245) and Cl at (0.001, 0.250, 0.748).

The value obtained for the density of states at the Fermi level is 1.13 states/eV per atom. As for the spin magnetization: 0.24 μB per atom. Its formation energy from raw total energies is -38.6 kcal/mol of atoms. For the offset from the most stable computed form, the calculation gives 0.0 meV per atom.